Material: AsAu2Br
Method: DFT, PBE
State: relaxed

Output
* M_tot: 0.0 μB/f.u.
* symmetry: R-3m (166)
* uncorrected energy: -3.15 eV per atom
* ΔE to the lowest computed polymorph: 33.9 meV/atom

Lattice parameters (Å, degrees): 7.505 7.505 7.505 29.04 29.04 29.04
Fractional positions:
As: 0.000 0.000 0.000
Au: 0.261 0.261 0.261
Au: 0.739 0.739 0.739
Br: 0.500 0.500 0.500